[1]
This record from Alexandria via LeMat-Bulk describes an optimized crystal structure of MgAl2Zn. The functional is GGA-PBEsol.

The structure in extended XYZ format:
```
4
Lattice="4.012 0.000 0.000 0.000 4.012 0.000 0.000 0.000 4.201" Properties=species:S:1:pos:R:3 pbc="T T T"
Mg 0.000 0.000 0.000
Al 0.000 2.006 2.100
Al 2.006 0.000 2.100
Zn 2.006 2.006 0.000
```

Properties
Theoretical density (Mg/m³): 3.528
Volume (Å³ per cell): 67.6
N(E_F) (states/eV per cell): 1.14
Total magnetization (μB/atom): 0.00
SG: No. 123
E (eV per atom): -2.870

[2]
This record from Alexandria via LeMat-Bulk describes an optimized crystal structure of Mg17Al11Zn. The functional is GGA-PBEsol.

The structure in extended XYZ format:
```
29
Lattice="5.219 -7.372 0.000 5.219 7.372 0.000 -5.215 0.000 7.388" Properties=species:S:1:pos:R:3 pbc="T T T"
Mg 0.000 0.000 0.000
Mg -3.028 0.000 4.640
Mg 3.291 4.434 0.203
Mg 0.300 5.070 5.463
Mg -0.019 0.000 5.088
Mg 3.282 4.431 4.870
Mg 0.318 2.327 6.975
Mg 1.808 0.000 2.548
Mg 3.605 2.534 2.546
Mg 3.291 -4.434 0.203
Mg 0.318 -2.327 6.975
Mg 6.576 2.089 2.537
Mg 3.605 -2.534 2.546
Mg 7.446 0.000 0.414
Mg 0.300 -5.070 5.463
Mg 6.576 -2.089 2.537
Mg 3.282 -4.431 4.870
Al 4.128 6.030 2.540
Al -2.461 1.364 7.212
Al 0.854 2.711 3.915
Al -2.461 -1.364 7.212
Al 6.073 4.664 1.166
Al 2.767 1.355 5.237
Al 0.854 -2.711 3.915
Al 4.691 0.000 1.244
Al 2.767 -1.355 5.237
Al 4.128 -6.030 2.540
Al 6.073 -4.664 1.166
Zn 4.693 0.000 3.877
```

Properties
Theoretical density (Mg/m³): 2.265
Volume (Å³ per cell): 568.5
N(E_F) (states/eV per cell): 11.35
Total magnetization (μB/atom): 0.00
SG: No. 8
E (eV per atom): -2.635

[3]
This record from Alexandria via LeMat-Bulk describes an optimized crystal structure of MgAlZn. The functional is GGA-PBEsol.

The structure in extended XYZ format:
```
3
Lattice="-1.458 1.458 6.049 1.458 -1.458 6.049 1.458 1.458 -6.049" Properties=species:S:1:pos:R:3 pbc="T T T"
Mg 0.000 0.000 0.000
Al 0.000 0.000 3.836
Zn 0.000 0.000 8.066
```

Properties
Theoretical density (Mg/m³): 3.770
Volume (Å³ per cell): 51.4
N(E_F) (states/eV per cell): 0.90
E above lowest polymorph (meV per atom): 11
Total magnetization (μB/atom): 0.00
SG: No. 107

[4]
This record from Alexandria via LeMat-Bulk describes an optimized crystal structure of MgAlZn. The functional is GGA-PBEsol.

The structure in extended XYZ format:
```
3
Lattice="-1.480 2.014 4.352 1.480 -2.014 4.352 1.480 2.014 -4.352" Properties=species:S:1:pos:R:3 pbc="T T T"
Mg 0.000 0.000 0.000
Al 0.000 0.000 2.820
Zn 0.000 0.000 5.850
```

Properties
Theoretical density (Mg/m³): 3.736
Volume (Å³ per cell): 51.9
N(E_F) (states/eV per cell): 0.88
E above lowest polymorph (meV per atom): 36
Total magnetization (μB/atom): 0.00
SG: No. 44

[5]
This record from Alexandria via LeMat-Bulk describes an optimized crystal structure of MgAl3Zn. The functional is GGA-PBEsol.

The structure in extended XYZ format:
```
5
Lattice="4.745 0.000 0.000 0.000 4.745 0.000 0.000 0.000 4.745" Properties=species:S:1:pos:R:3 pbc="T T T"
Mg 0.000 0.000 0.000
Al 0.000 2.373 2.373
Al 2.373 0.000 2.373
Al 2.373 2.373 0.000
Zn 2.373 2.373 2.373
```

Properties
Theoretical density (Mg/m³): 2.652
Volume (Å³ per cell): 106.8
N(E_F) (states/eV per cell): 2.32
Total magnetization (μB/atom): 0.00
SG: No. 221
E (eV per atom): -2.648

[6]
This record from Alexandria via LeMat-Bulk describes an optimized crystal structure of MgAl2Zn. The functional is GGA-PBEsol.

The structure in extended XYZ format:
```
4
Lattice="4.610 -1.501 0.000 4.610 1.501 0.000 -0.959 0.000 4.946" Properties=species:S:1:pos:R:3 pbc="T T T"
Mg 0.000 0.000 0.000
Al 4.187 0.000 2.508
Al 6.720 0.000 1.357
Zn 1.571 0.000 3.735
```

Properties
Theoretical density (Mg/m³): 3.486
Volume (Å³ per cell): 68.4
N(E_F) (states/eV per cell): 1.42
Total magnetization (μB/atom): 0.00
SG: No. 8
E (eV per atom): -2.845

- Among the records above, which one has the lowest theoretical density?
  Mg17Al11Zn

- What is the formula in the sixth record?
  MgAl2Zn

- total magnetization of number 4 (MgAlZn)?
  0.00 μB/atom